An optimized crystal structure of TbAl2Cu10, computed with PBE.

Unit cell a=8.529 b=6.617 c=6.426 alpha=81.67 beta=50.13 gamma=48.20
Fractional positions:
Tb 0.000 0.000 0.000
Al 0.000 0.500 0.000
Al 0.500 0.000 0.500
Cu 0.000 0.000 0.500
Cu 0.003 0.647 0.353
Cu 0.280 0.501 0.499
Cu 0.353 0.997 0.003
Cu 0.499 0.720 0.280
Cu 0.500 0.500 0.000
Cu 0.501 0.280 0.720
Cu 0.647 0.003 0.997
Cu 0.720 0.499 0.501
Cu 0.997 0.353 0.647

Summary:
E_tot: -4.23 eV/atom
formation enthalpy at 0 K: -0.1492 eV/atom